No. 1
Density functional theory data (meta-GGA SCAN) for a PBEsol-optimized structure of CuTcPt.

As for the total magnetization: 0.00 μB per cell. As for the formation energy: 0.023 eV/atom.

```
data_CuTcPt
_chemical_formula_sum 'Cu1 Tc1 Pt1'
_cell_length_a 4.2429
_cell_length_b 4.2429
_cell_length_c 2.6023
_cell_angle_alpha 90.00
_cell_angle_beta 90.00
_cell_angle_gamma 120.00
_symmetry_space_group_name_H-M 'P -6 m 2'
_symmetry_Int_Tables_number 187
_symmetry_space_group_name_Hall 'P -6 2'
loop_
_atom_site_label
_atom_site_fract_x
_atom_site_fract_y
_atom_site_fract_z
Cu1 0.0000 0.0000 0.0000
Tc1 0.3333 0.6667 0.5000
Pt1 0.6667 0.3333 0.0000
```

No. 2
Density functional theory data (meta-GGA SCAN) for a PBEsol-optimized structure of CuTcPt4.

As for the total magnetization: 15.18 μB per cell. As for the formation energy: 0.250 eV/atom.

```
data_CuTcPt4
_chemical_formula_sum 'Cu4 Tc4 Pt16'
_cell_length_a 7.2641
_cell_length_b 7.2641
_cell_length_c 7.2641
_cell_angle_alpha 90.00
_cell_angle_beta 90.00
_cell_angle_gamma 90.00
_symmetry_space_group_name_H-M 'F -4 3 m'
_symmetry_Int_Tables_number 216
_symmetry_space_group_name_Hall 'F -4 2 3'
loop_
_atom_site_label
_atom_site_fract_x
_atom_site_fract_y
_atom_site_fract_z
Cu1 0.0000 0.0000 0.0000
Tc1 0.2500 0.2500 0.7500
Pt1 0.1252 0.1252 0.3748
```

No. 3
Density functional theory data (meta-GGA SCAN) for a PBEsol-optimized structure of CuTePt.

Its formation energy without anion corrections is 0.0615 eV per atom. As for the total magnetization: 0.00 μB per cell.

```
data_CuTePt
_chemical_formula_sum 'Cu4 Te4 Pt4'
_cell_length_a 6.1305
_cell_length_b 6.1305
_cell_length_c 6.1305
_cell_angle_alpha 90.00
_cell_angle_beta 90.00
_cell_angle_gamma 90.00
_symmetry_space_group_name_H-M 'F -4 3 m'
_symmetry_Int_Tables_number 216
_symmetry_space_group_name_Hall 'F -4 2 3'
loop_
_atom_site_label
_atom_site_fract_x
_atom_site_fract_y
_atom_site_fract_z
Cu1 0.0000 0.0000 0.0000
Te1 0.2500 0.2500 0.2500
Pt1 0.0000 0.0000 0.5000
```

No. 4
Density functional theory data (meta-GGA SCAN) for a PBEsol-optimized structure of CuTe2Pt.

Its formation energy without anion corrections is -0.0238 eV per atom. As for the total magnetization: 0.00 μB per cell. For the energy relative to the lowest polymorph listed for this composition, the calculation gives 168.3 meV per atom.

```
data_CuTe2Pt
_chemical_formula_sum 'Cu2 Te4 Pt2'
_cell_length_a 5.9260
_cell_length_b 7.5331
_cell_length_c 3.8223
_cell_angle_alpha 90.00
_cell_angle_beta 90.00
_cell_angle_gamma 90.00
_symmetry_space_group_name_H-M 'C m m m'
_symmetry_Int_Tables_number 65
_symmetry_space_group_name_Hall '-C 2 2'
loop_
_atom_site_label
_atom_site_fract_x
_atom_site_fract_y
_atom_site_fract_z
Cu1 0.0000 0.0000 0.0000
Te1 0.0000 0.2571 0.5000
Pt1 0.0000 0.5000 0.0000
```

No. 5
Density functional theory data (meta-GGA SCAN) for a PBEsol-optimized structure of CuTe4Pt.

Its formation energy without anion corrections is 1.0770 eV per atom. As for the total magnetization: 0.00 μB per cell.

```
data_CuTe4Pt
_chemical_formula_sum 'Cu4 Te16 Pt4'
_cell_length_a 8.4940
_cell_length_b 8.4940
_cell_length_c 8.4940
_cell_angle_alpha 90.00
_cell_angle_beta 90.00
_cell_angle_gamma 90.00
_symmetry_space_group_name_H-M 'F -4 3 m'
_symmetry_Int_Tables_number 216
_symmetry_space_group_name_Hall 'F -4 2 3'
loop_
_atom_site_label
_atom_site_fract_x
_atom_site_fract_y
_atom_site_fract_z
Cu1 0.0000 0.0000 0.0000
Te1 0.1245 0.1245 0.6245
Pt1 0.2500 0.2500 0.2500
```

No. 6
Density functional theory data (meta-GGA SCAN) for a PBEsol-optimized structure of CuTe2Pt.

Its formation energy without anion corrections is -0.1921 eV per atom. As for the total magnetization: 0.00 μB per cell. For the energy relative to the lowest polymorph listed for this composition, the calculation gives 0.0 meV per atom.

```
data_CuTe2Pt
_chemical_formula_sum 'Cu2 Te4 Pt2'
_cell_length_a 6.8336
_cell_length_b 3.9751
_cell_length_c 6.6446
_cell_angle_alpha 90.00
_cell_angle_beta 110.35
_cell_angle_gamma 90.00
_symmetry_space_group_name_H-M 'C 1 m 1'
_symmetry_Int_Tables_number 8
loop_
_symmetry_equiv_pos_as_xyz
'x,y,z'
'x,-y,z'
'x+1/2,y+1/2,z'
'x+1/2,-y+1/2,z'
loop_
_atom_site_label
_atom_site_fract_x
_atom_site_fract_y
_atom_site_fract_z
Cu1 0.0000 0.0000 0.0000
Te1 0.2735 0.0000 0.8167
Te2 0.4688 0.0000 0.4102
Pt1 0.2334 0.5000 0.2033
```

No. 7
Density functional theory data (meta-GGA SCAN) for a PBEsol-optimized structure of CuTePt2.

Its formation energy without anion corrections is 0.0274 eV per atom. As for the total magnetization: 0.00 μB per cell.

```
data_CuTePt2
_chemical_formula_sum 'Cu2 Te2 Pt4'
_cell_length_a 4.1600
_cell_length_b 4.1600
_cell_length_c 7.4319
_cell_angle_alpha 90.00
_cell_angle_beta 90.00
_cell_angle_gamma 90.00
_symmetry_space_group_name_H-M 'I 4/m m m'
_symmetry_Int_Tables_number 139
_symmetry_space_group_name_Hall '-I 4 2'
loop_
_atom_site_label
_atom_site_fract_x
_atom_site_fract_y
_atom_site_fract_z
Cu1 0.0000 0.0000 0.0000
Te1 0.0000 0.0000 0.5000
Pt1 0.0000 0.5000 0.2500
```

No. 8
Density functional theory data (meta-GGA SCAN) for a PBEsol-optimized structure of Tl2CuPt.

As for the total magnetization: 0.00 μB per cell. For the energy relative to the lowest polymorph listed for this composition, the calculation gives 0.0 meV per atom. As for the formation energy: 0.268 eV/atom.

```
data_Tl2CuPt
_chemical_formula_sum 'Tl8 Cu4 Pt4'
_cell_length_a 6.6554
_cell_length_b 6.6554
_cell_length_c 6.6554
_cell_angle_alpha 90.00
_cell_angle_beta 90.00
_cell_angle_gamma 90.00
_symmetry_space_group_name_H-M 'F m -3 m'
_symmetry_Int_Tables_number 225
_symmetry_space_group_name_Hall '-F 4 2 3'
loop_
_atom_site_label
_atom_site_fract_x
_atom_site_fract_y
_atom_site_fract_z
Tl1 0.2500 0.2500 0.2500
Cu1 0.0000 0.0000 0.0000
Pt1 0.0000 0.0000 0.5000
```

No. 9
Density functional theory data (meta-GGA SCAN) for a PBEsol-optimized structure of Tl2CuPt.

As for the total magnetization: 0.00 μB per cell. For the energy relative to the lowest polymorph listed for this composition, the calculation gives 39.0 meV per atom. As for the formation energy: 0.307 eV/atom.

```
data_Tl2CuPt
_chemical_formula_sum 'Tl4 Cu2 Pt2'
_cell_length_a 6.4944
_cell_length_b 6.5096
_cell_length_c 3.4892
_cell_angle_alpha 90.00
_cell_angle_beta 90.00
_cell_angle_gamma 90.00
_symmetry_space_group_name_H-M 'C m m m'
_symmetry_Int_Tables_number 65
_symmetry_space_group_name_Hall '-C 2 2'
loop_
_atom_site_label
_atom_site_fract_x
_atom_site_fract_y
_atom_site_fract_z
Tl1 0.2500 0.2500 0.0000
Cu1 0.0000 0.0000 0.5000
Pt1 0.0000 0.5000 0.5000
```

No. 10
Density functional theory data (meta-GGA SCAN) for a PBEsol-optimized structure of Tl2CuPt.

As for the total magnetization: 0.00 μB per cell. For the energy relative to the lowest polymorph listed for this composition, the calculation gives 8.5 meV per atom. As for the formation energy: 0.277 eV/atom.

```
data_Tl2CuPt
_chemical_formula_sum 'Tl4 Cu2 Pt2'
_cell_length_a 6.6721
_cell_length_b 6.1860
_cell_length_c 3.6703
_cell_angle_alpha 90.00
_cell_angle_beta 97.84
_cell_angle_gamma 90.00
_symmetry_space_group_name_H-M 'C 1 2/m 1'
_symmetry_Int_Tables_number 12
loop_
_symmetry_equiv_pos_as_xyz
'x,y,z'
'-x,-y,-z'
'-x,y,-z'
'x,-y,z'
'x+1/2,y+1/2,z'
'-x+1/2,-y+1/2,-z'
'-x+1/2,y+1/2,-z'
'x+1/2,-y+1/2,z'
loop_
_atom_site_label
_atom_site_fract_x
_atom_site_fract_y
_atom_site_fract_z
Tl1 0.2500 0.2500 0.0000
Cu1 0.0000 0.0000 0.5000
Pt1 0.0000 0.5000 0.5000
```

No. 11
Density functional theory data (meta-GGA SCAN) for a PBEsol-optimized structure of Tm2CuPt.

As for the total magnetization: 0.00 μB per cell. As for the formation energy: -0.975 eV/atom.

```
data_Tm2CuPt
_chemical_formula_sum 'Tm8 Cu4 Pt4'
_cell_length_a 6.7542
_cell_length_b 6.7542
_cell_length_c 6.7542
_cell_angle_alpha 90.00
_cell_angle_beta 90.00
_cell_angle_gamma 90.00
_symmetry_space_group_name_H-M 'F m -3 m'
_symmetry_Int_Tables_number 225
_symmetry_space_group_name_Hall '-F 4 2 3'
loop_
_atom_site_label
_atom_site_fract_x
_atom_site_fract_y
_atom_site_fract_z
Tm1 0.2500 0.2500 0.2500
Cu1 0.0000 0.0000 0.0000
Pt1 0.0000 0.0000 0.5000
```

No. 12
Density functional theory data (meta-GGA SCAN) for a PBEsol-optimized structure of CuPtW2.

As for the total magnetization: 0.00 μB per cell. For the energy relative to the lowest polymorph listed for this composition, the calculation gives 158.2 meV per atom. As for the formation energy: 0.191 eV/atom.

```
data_CuPtW2
_chemical_formula_sum 'Cu3 Pt3 W6'
_cell_length_a 2.7503
_cell_length_b 2.7503
_cell_length_c 26.9096
_cell_angle_alpha 90.00
_cell_angle_beta 90.00
_cell_angle_gamma 120.00
_symmetry_space_group_name_H-M 'R 3 m'
_symmetry_Int_Tables_number 160
_symmetry_space_group_name_Hall 'R 3 -2"'
loop_
_atom_site_label
_atom_site_fract_x
_atom_site_fract_y
_atom_site_fract_z
Cu1 0.0000 0.0000 0.0000
Pt1 0.0000 0.0000 0.2533
W1 0.0000 0.0000 0.5037
W2 0.0000 0.0000 0.7470
```